# TlTcTe2N (GGA-PBE, relaxed)
data_TlTcTe2N
_cell_length_a 5.618
_cell_length_b 5.618
_cell_length_c 3.733
_cell_angle_alpha 90.00
_cell_angle_beta 90.00
_cell_angle_gamma 90.00
_symmetry_space_group_name_H-M 'P 4/m m m'
_symmetry_Int_Tables_number 123
_symmetry_space_group_name_Hall '-P 4 2'
loop_
_atom_site_label
_atom_site_fract_x
_atom_site_fract_y
_atom_site_fract_z
Tl1 0.000 0.000 0.000
Tc1 0.500 0.500 0.500
Te1 0.000 0.500 0.500
N1 0.500 0.500 0.000
# **Polymorph energy (0 for the lowest one)**: 0 meV/atom
# **Theoretical density**: 8.1 g/cm³
# **Uncorrected formation energy**: 0.156 eV/atom
# **Density of states at the Fermi level**: 2.80 states/eV/cell

---

# VTcTeN2 (GGA-PBE, relaxed)
data_VTcTeN2
_cell_length_a 3.865
_cell_length_b 3.865
_cell_length_c 5.663
_cell_angle_alpha 90.00
_cell_angle_beta 90.00
_cell_angle_gamma 90.00
_symmetry_space_group_name_H-M 'P 4/m m m'
_symmetry_Int_Tables_number 123
_symmetry_space_group_name_Hall '-P 4 2'
loop_
_atom_site_label
_atom_site_fract_x
_atom_site_fract_y
_atom_site_fract_z
V1 0.000 0.000 0.000
Tc1 0.500 0.500 0.500
Te1 0.500 0.500 0.000
N1 0.000 0.500 0.500
# **Polymorph energy (0 for the lowest one)**: 43 meV/atom
# **Theoretical density**: 6.0 g/cm³
# **Uncorrected formation energy**: 0.902 eV/atom
# **Density of states at the Fermi level**: 8.16 states/eV/cell

---

# VTcTeN2 (GGA-PBE, relaxed)
data_VTcTeN2
_cell_length_a 3.842
_cell_length_b 3.842
_cell_length_c 5.565
_cell_angle_alpha 90.00
_cell_angle_beta 90.00
_cell_angle_gamma 90.00
_symmetry_space_group_name_H-M 'P 4/m m m'
_symmetry_Int_Tables_number 123
_symmetry_space_group_name_Hall '-P 4 2'
loop_
_atom_site_label
_atom_site_fract_x
_atom_site_fract_y
_atom_site_fract_z
V1 0.000 0.000 0.000
Tc1 0.500 0.500 0.500
Te1 0.000 0.000 0.500
N1 0.000 0.500 0.000
# **Polymorph energy (0 for the lowest one)**: 0 meV/atom
# **Theoretical density**: 6.2 g/cm³
# **Uncorrected formation energy**: 0.859 eV/atom
# **Density of states at the Fermi level**: 3.14 states/eV/cell

---

# VTcTe2N (GGA-PBE, relaxed)
data_VTcTe2N
_cell_length_a 5.406
_cell_length_b 5.406
_cell_length_c 3.688
_cell_angle_alpha 90.00
_cell_angle_beta 90.00
_cell_angle_gamma 90.00
_symmetry_space_group_name_H-M 'P 4/m m m'
_symmetry_Int_Tables_number 123
_symmetry_space_group_name_Hall '-P 4 2'
loop_
_atom_site_label
_atom_site_fract_x
_atom_site_fract_y
_atom_site_fract_z
V1 0.000 0.000 0.000
Tc1 0.500 0.500 0.500
Te1 0.000 0.500 0.500
N1 0.500 0.500 0.000
# **Polymorph energy (0 for the lowest one)**: 0 meV/atom
# **Theoretical density**: 6.4 g/cm³
# **Uncorrected formation energy**: 0.467 eV/atom
# **Density of states at the Fermi level**: 5.97 states/eV/cell

---

uncorrected formation energy of number 2 (VTcTeN2)? 0.902 eV/atom

---

Repeat the first record exactly.
# TlTcTe2N (GGA-PBE, relaxed)
data_TlTcTe2N
_cell_length_a 5.618
_cell_length_b 5.618
_cell_length_c 3.733
_cell_angle_alpha 90.00
_cell_angle_beta 90.00
_cell_angle_gamma 90.00
_symmetry_space_group_name_H-M 'P 4/m m m'
_symmetry_Int_Tables_number 123
_symmetry_space_group_name_Hall '-P 4 2'
loop_
_atom_site_label
_atom_site_fract_x
_atom_site_fract_y
_atom_site_fract_z
Tl1 0.000 0.000 0.000
Tc1 0.500 0.500 0.500
Te1 0.000 0.500 0.500
N1 0.500 0.500 0.000
# **Polymorph energy (0 for the lowest one)**: 0 meV/atom
# **Theoretical density**: 8.1 g/cm³
# **Uncorrected formation energy**: 0.156 eV/atom
# **Density of states at the Fermi level**: 2.80 states/eV/cell